Ce3TmN | GGA-PBE | optimized geometry

The value obtained for the electronic total energy is -0.48791 Ry per atom. The total magnetization comes out at 0.04 μB/f.u.

abc: 4.9398 4.9398 4.9398
angles: 90.00 90.00 90.00
Atoms (fractional coordinates):
Tm: 0.5000 0.5000 0.5000
Ce: 0.0000 0.5000 0.0000
Ce: 0.0000 0.0000 0.5000
Ce: 0.5000 0.0000 0.0000
N: 0.0000 0.0000 0.0000